(1)
Entry from Alexandria: a geometry-optimized ReOs3Se structure (PBE).

Calculated values
formation energy without anion corrections: 2.194 eV per atom

Unit cell a=4.475 b=4.475 c=4.475 alpha=90.00 beta=90.00 gamma=90.00
Fractional positions:
Re  0.000  0.000  0.000
Os  0.000  0.500  0.500
Os  0.500  0.000  0.500
Os  0.500  0.500  0.000
Se  0.500  0.500  0.500


(2)
Entry from Alexandria: a geometry-optimized HoErCuPd structure (PBE).

Calculated values
ΔH_f (0 K): -0.59 eV per atom

Unit cell a=4.907 b=4.907 c=4.907 alpha=60.00 beta=60.00 gamma=60.00
Fractional positions:
Ho  0.000  0.000  0.000
Er  0.500  0.500  0.500
Cu  0.750  0.750  0.750
Pd  0.250  0.250  0.250


(3)
Entry from Alexandria: a geometry-optimized SrCu2Br structure (PBE).

Calculated values
formation energy without anion corrections: -0.052 eV per atom

Unit cell a=4.312 b=4.312 c=5.720 alpha=90.00 beta=90.00 gamma=90.00
Fractional positions:
Sr  0.000  0.000  0.000
Cu  0.500  0.500  0.217
Cu  0.500  0.500  0.783
Br  0.000  0.000  0.500


(4)
Entry from Alexandria: a geometry-optimized ScP structure (PBE).

Calculated values
ΔH_f (0 K): -0.90 eV per atom

Unit cell a=7.429 b=7.429 c=7.429 alpha=34.55 beta=34.55 gamma=34.55
Fractional positions:
Sc  0.223  0.223  0.223
Sc  0.777  0.777  0.777
P  0.099  0.099  0.099
P  0.901  0.901  0.901